[1]
Below is a relaxed structure of Tm5SnHg2, with properties calculated at the PBE level.

The calculation puts the volume at 213.72 Å³/f.u. The symmetry is I4/mcm. The formation energy comes out at -471.3 meV/atom. For the total magnetization, the calculation gives 0.00 μB/f.u.

POSCAR file:
```
Tm5SnHg2
1.0
-3.936 -5.533 4.480
6.104 0.012 5.377
-3.993 7.495 -1.637
Tm Sn Hg
10 2 4
direct
0.505 0.696 0.702 Tm
0.804 0.995 0.298 Tm
0.000 0.000 0.000 Tm
0.500 0.500 0.000 Tm
0.196 0.005 0.702 Tm
0.696 0.196 0.702 Tm
0.005 0.505 0.702 Tm
0.304 0.804 0.298 Tm
0.995 0.495 0.298 Tm
0.495 0.304 0.298 Tm
0.750 0.750 0.500 Sn
0.250 0.250 0.500 Sn
0.139 0.361 0.000 Hg
0.639 0.139 0.000 Hg
0.361 0.861 0.000 Hg
0.861 0.639 0.000 Hg
```

[2]
Below is a relaxed structure of GaHg2Pd, with properties calculated at the PBE level.

The calculation puts the volume at 85.72 Å³/f.u. The symmetry is I-42d. The formation energy comes out at 63.5 meV/atom. For the total magnetization, the calculation gives 0.00 μB/f.u.

POSCAR file:
```
GaHg2Pd
1.0
7.868 0.000 0.000
0.000 7.868 0.000
3.934 3.934 2.769
Ga Hg Pd
2 4 2
direct
0.500 0.500 0.000 Ga
0.250 0.750 0.500 Ga
0.632 0.125 0.250 Hg
0.118 0.625 0.250 Hg
0.375 0.368 0.750 Hg
0.875 0.882 0.750 Hg
0.000 0.000 0.000 Pd
0.750 0.250 0.500 Pd
```